Here is a geometry-optimized NaPuTeS structure from the Alexandria database. Energies are from GGA-PBE.

Structure (POSCAR):
```
NaPuTeS
1.0
2.115 1.221 7.120
-2.115 1.221 7.120
0.000 -2.443 7.120
Na Pu Te S
1 1 1 1
direct
0.000 0.000 0.000
0.481 0.481 0.481
0.237 0.237 0.237
0.751 0.751 0.751
```

Properties
ΔE_f (raw) = -1.2778 eV/atom
space group = R3m